Below is a geometry-optimized CoWAu structure, with properties calculated at the GGA-PBE level.

Output
Calculated volume: 49 Å³/f.u.
Excess energy over the best structure of this formula in the dataset: 409.6 meV/atom
ΔH_f (0 K): 0.636 eV per atom
Space-group type: No. 216
Calculated total energy: -21.4 eV/cell
Density of states at the Fermi level: 1.155 states/eV per atom

Cell: 4.1140 4.1140 4.1140 Å, 60.00 60.00 60.00°
Last column: nearest neighbours and their distance in Å.
Element x y z (fractional)
Co  0.0000  0.0000  0.0000  4 Au 2.52, 4 W 2.52
W  0.2500  0.2500  0.2500  4 Co 2.52
Au  0.7500  0.7500  0.7500  4 Co 2.52

Below is a geometry-optimized SnSb structure, with properties calculated at the GGA-PBE level.

Output
Calculated volume: 59 Å³/f.u.
Space-group type: No. 63
Calculated total energy: -16.2 eV/cell
Density of states at the Fermi level: 0.417 states/eV per atom
Formation energy without anion corrections: 22.9 meV per atom

Cell: 5.3709 5.3709 4.3679 Å, 90.00 90.00 109.68°
Last column: nearest neighbours and their distance in Å.
Element x y z (fractional)
Sn  0.1305  0.8695  0.7500  4 Sb 3.03-3.09, 2 Sn 3.17
Sn  0.8695  0.1305  0.2500  4 Sb 3.03-3.09, 2 Sn 3.17
Sb  0.3694  0.6306  0.2500  4 Sn 3.03-3.09, 2 Sb 3.17
Sb  0.6306  0.3694  0.7500  4 Sn 3.03-3.09, 2 Sb 3.17

Below is a geometry-optimized LaTi2Cr structure, with properties calculated at the GGA-PBE level.

Output
Calculated volume: 73 Å³/f.u.
Excess energy over the best structure of this formula in the dataset: 0.0 meV/atom
ΔH_f (0 K): 0.520 eV per atom
Space-group type: No. 225
Calculated total energy: -28.3 eV/cell
Density of states at the Fermi level: 2.230 states/eV per atom

Cell: 4.6896 4.6896 4.6896 Å, 60.00 60.00 60.00°
Last column: nearest neighbours and their distance in Å.
Element x y z (fractional)
La  0.0000  0.0000  0.0000  8 Ti 2.87
Ti  0.2500  0.2500  0.2500  4 Cr 2.87, 4 La 2.87
Ti  0.7500  0.7500  0.7500  4 Cr 2.87, 4 La 2.87
Cr  0.5000  0.5000  0.5000  8 Ti 2.87

Below is a geometry-optimized Sc3SbPd structure, with properties calculated at the GGA-PBE level.

Output
Calculated volume: 128 Å³/f.u.
Excess energy over the best structure of this formula in the dataset: 0.0 meV/atom
Space-group type: No. 221
Calculated total energy: -30.0 eV/cell
Density of states at the Fermi level: 1.640 states/eV per atom
Formation energy without anion corrections: -345.5 meV per atom

Cell: 5.0334 5.0334 5.0334 Å, 90.00 90.00 90.00°
Last column: nearest neighbours and their distance in Å.
Element x y z (fractional)
Sc  0.0000  0.0000  0.5000  2 Pd 2.52
Sc  0.0000  0.5000  0.0000  2 Pd 2.52
Sc  0.5000  0.0000  0.0000  2 Pd 2.52
Sb  0.5000  0.5000  0.5000  12 Sc 3.56
Pd  0.0000  0.0000  0.0000  6 Sc 2.52

Below is a geometry-optimized ScAg4Bi structure, with properties calculated at the GGA-PBE level.

Output
Calculated volume: 126 Å³/f.u.
ΔH_f (0 K): -0.064 eV per atom
Space-group type: No. 216
Calculated total energy: -22.0 eV/cell
Density of states at the Fermi level: 0.572 states/eV per atom

Cell: 5.6294 5.6294 5.6294 Å, 60.00 60.00 60.00°
Last column: nearest neighbours and their distance in Å.
Element x y z (fractional)
Sc  0.0000  0.0000  0.0000  12 Ag 3.30, 4 Bi 3.45
Ag  0.1233  0.6256  0.6256  6 Ag 2.80-2.83
Ag  0.6256  0.1233  0.6256  6 Ag 2.80-2.83
Ag  0.6256  0.6256  0.1233  6 Ag 2.80-2.83
Ag  0.6256  0.6256  0.6256  6 Ag 2.80-2.83
Bi  0.2500  0.2500  0.2500  12 Ag 3.30, 4 Sc 3.45

Below is a geometry-optimized LuNbMoRu structure, with properties calculated at the GGA-PBE level.

Output
Calculated volume: 70 Å³/f.u.
ΔH_f (0 K): -0.073 eV per atom
Space-group type: No. 216
Calculated total energy: -35.0 eV/cell
Density of states at the Fermi level: 1.603 states/eV per atom

Cell: 4.6347 4.6347 4.6347 Å, 60.00 60.00 60.00°
Last column: nearest neighbours and their distance in Å.
Element x y z (fractional)
Lu  0.0000  0.0000  0.0000  4 Mo 2.84, 4 Ru 2.84
Nb  0.5000  0.5000  0.5000  4 Mo 2.84, 4 Ru 2.84
Mo  0.7500  0.7500  0.7500  4 Nb 2.84, 4 Lu 2.84
Ru  0.2500  0.2500  0.2500  4 Nb 2.84, 4 Lu 2.84

Below is a geometry-optimized Hf2MoOs2 structure, with properties calculated at the GGA-PBE level.

Output
Calculated volume: 93 Å³/f.u.
Excess energy over the best structure of this formula in the dataset: 0.0 meV/atom
ΔH_f (0 K): -0.161 eV per atom
Space-group type: No. 127
Calculated total energy: -108.0 eV/cell
Density of states at the Fermi level: 0.792 states/eV per atom

Cell: 6.5492 6.5492 4.3164 Å, 90.00 90.00 90.00°
Last column: nearest neighbours and their distance in Å.
Element x y z (fractional)
Hf  0.1802  0.3198  0.0000  6 Os 2.75-3.01
Hf  0.3198  0.8198  0.0000  6 Os 2.75-3.01
Hf  0.6802  0.1802  0.0000  6 Os 2.75-3.01
Hf  0.8198  0.6802  0.0000  6 Os 2.75-3.01
Mo  0.0000  0.0000  0.5000  4 Os 2.54
Mo  0.5000  0.5000  0.5000  4 Os 2.54
Os  0.1367  0.6367  0.5000  1 Os 2.53, 2 Mo 2.54, 2 Hf 2.75
Os  0.3633  0.1367  0.5000  1 Os 2.53, 2 Mo 2.54, 2 Hf 2.75
Os  0.6367  0.8633  0.5000  1 Os 2.53, 2 Mo 2.54, 2 Hf 2.75
Os  0.8633  0.3633  0.5000  1 Os 2.53, 2 Mo 2.54, 2 Hf 2.75

Below is a geometry-optimized MnNbCo2W structure, with properties calculated at the GGA-PBE level.

Output
Calculated volume: 93 Å³/f.u.
ΔH_f (0 K): 1.874 eV per atom
Space-group type: No. 123
Calculated total energy: -37.0 eV/cell
Density of states at the Fermi level: 1.165 states/eV per atom

Cell: 4.3801 4.3801 4.8377 Å, 90.00 90.00 90.00°
Last column: nearest neighbours and their distance in Å.
Element x y z (fractional)
Mn  0.0000  0.0000  0.0000  4 Nb 3.10, 8 Co 3.26
Nb  0.5000  0.5000  0.0000  2 W 2.42
Co  0.0000  0.5000  0.5000  2 W 2.19
Co  0.5000  0.0000  0.5000  2 W 2.19
W  0.5000  0.5000  0.5000  4 Co 2.19, 2 Nb 2.42

Below is a geometry-optimized PaTiAlCr structure, with properties calculated at the GGA-PBE level.

Output
Calculated volume: 66 Å³/f.u.
ΔH_f (0 K): -0.106 eV per atom
Space-group type: No. 216
Calculated total energy: -31.2 eV/cell
Density of states at the Fermi level: 0.592 states/eV per atom

Cell: 4.5371 4.5371 4.5371 Å, 60.00 60.00 60.00°
Last column: nearest neighbours and their distance in Å.
Element x y z (fractional)
Pa  0.0000  0.0000  0.0000  4 Cr 2.78, 4 Ti 2.78
Ti  0.2500  0.2500  0.2500  4 Al 2.78, 4 Pa 2.78
Al  0.5000  0.5000  0.5000  4 Cr 2.78, 4 Ti 2.78
Cr  0.7500  0.7500  0.7500  4 Al 2.78, 4 Pa 2.78

Below is a geometry-optimized SrGa2Sn2 structure, with properties calculated at the GGA-PBE level.

Output
Calculated volume: 128 Å³/f.u.
Excess energy over the best structure of this formula in the dataset: 69.0 meV/atom
ΔH_f (0 K): -0.247 eV per atom
Space-group type: No. 127
Calculated total energy: -34.0 eV/cell
Density of states at the Fermi level: 0.536 states/eV per atom

Cell: 8.2892 8.2892 3.7389 Å, 90.00 90.00 90.00°
Last column: nearest neighbours and their distance in Å.
Element x y z (fractional)
Sr  0.0000  0.0000  0.0000  4 Ga 3.29, 8 Sn 3.62
Sr  0.5000  0.5000  0.0000  4 Ga 3.29, 8 Sn 3.62
Ga  0.1225  0.3775  0.0000  1 Ga 2.87, 6 Sn 3.03-3.14
Ga  0.3775  0.8775  0.0000  1 Ga 2.87, 6 Sn 3.03-3.14
Ga  0.6225  0.1225  0.0000  1 Ga 2.87, 6 Sn 3.03-3.14
Ga  0.8775  0.6225  0.0000  1 Ga 2.87, 6 Sn 3.03-3.14
Sn  0.1625  0.6625  0.5000  6 Ga 3.03-3.14
Sn  0.3375  0.1625  0.5000  6 Ga 3.03-3.14
Sn  0.6625  0.8375  0.5000  6 Ga 3.03-3.14
Sn  0.8375  0.3375  0.5000  6 Ga 3.03-3.14

Below is a geometry-optimized Mn2HgCl structure, with properties calculated at the GGA-PBE level.

Output
Calculated volume: 81 Å³/f.u.
Excess energy over the best structure of this formula in the dataset: 243.5 meV/atom
Space-group type: No. 122
Calculated total energy: -38.5 eV/cell
Density of states at the Fermi level: 0.916 states/eV per atom
Formation energy without anion corrections: 308.6 meV per atom

Cell: 5.9536 5.9536 5.9536 Å, 107.11 107.11 114.30°
Last column: nearest neighbours and their distance in Å.
Element x y z (fractional)
Mn  0.0984  0.6250  0.9734  2 Cl 2.51, 2 Hg 2.76
Mn  0.3750  0.3484  0.4734  2 Cl 2.51, 2 Hg 2.76
Mn  0.6516  0.1250  0.0266  2 Cl 2.51, 2 Hg 2.76
Mn  0.8750  0.9016  0.5266  2 Cl 2.51, 2 Hg 2.76
Hg  0.2500  0.7500  0.5000  4 Mn 2.76
Hg  0.5000  0.5000  0.0000  4 Mn 2.76
Cl  0.0000  0.0000  0.0000  4 Mn 2.51
Cl  0.7500  0.2500  0.5000  4 Mn 2.51

Below is a geometry-optimized CoAs2Se structure, with properties calculated at the GGA-PBE level.

Output
Calculated volume: 68 Å³/f.u.
Space-group type: No. 123
Calculated total energy: -17.7 eV/cell
Density of states at the Fermi level: 1.222 states/eV per atom
Formation energy without anion corrections: 557.1 meV per atom

Cell: 4.6338 4.6338 3.1439 Å, 90.00 90.00 90.00°
Last column: nearest neighbours and their distance in Å.
Element x y z (fractional)
Co  0.0000  0.0000  0.0000  8 As 2.80
As  0.0000  0.5000  0.5000  4 Se 2.80, 4 Co 2.80
As  0.5000  0.0000  0.5000  4 Se 2.80, 4 Co 2.80
Se  0.5000  0.5000  0.0000  8 As 2.80